# NiSbMo

A relaxed NiSbMo crystal (PBE-GGA, the Alexandria database).

```
NiSbMo
1.0
5.306 0.000 0.000
0.000 3.072 0.000
0.000 0.000 6.406
Ni Sb Mo
2 2 2
direct
0.250 0.000 0.226
0.750 0.000 0.774
0.250 0.000 0.817
0.750 0.000 0.183
0.000 0.500 0.500
0.500 0.500 0.500
```

Results
- E (eV/atom) = -6.815
- ΔE_f (raw) (eV per formula unit) = 0.29
- V (Å³/atom) = 17.40
- magnetic moment (Bohr magnetons per cell) = 0.000